The following is a PBE calculation of an optimized crystal structure of PmCuPt, from Alexandria.

Unit cell a=4.384 b=4.384 c=3.713 alpha=90.00 beta=90.00 gamma=120.00
Atoms (fractional coordinates):
1 Pm 0.000 0.000 0.000
2 Cu 0.667 0.333 0.500
3 Pt 0.333 0.667 0.500

=====

The following is a PBE calculation of an optimized crystal structure of PmCu8Pt3, from Alexandria.

Unit cell a=4.928 b=4.928 c=8.058 alpha=90.00 beta=90.00 gamma=120.00
Atoms (fractional coordinates):
1 Pm 0.000 0.000 0.000
2 Cu 0.165 0.330 0.672
3 Cu 0.165 0.835 0.672
4 Cu 0.333 0.667 0.432
5 Cu 0.333 0.667 0.932
6 Cu 0.504 0.007 0.196
7 Cu 0.504 0.496 0.196
8 Cu 0.670 0.835 0.672
9 Cu 0.993 0.496 0.196
10 Pt 0.000 0.000 0.375
11 Pt 0.667 0.333 0.500
12 Pt 0.667 0.333 0.856

=====

The following is a PBE calculation of an optimized crystal structure of PmCuPt3, from Alexandria.

Unit cell a=6.496 b=6.496 c=6.496 alpha=130.75 beta=108.46 gamma=91.75
Atoms (fractional coordinates):
1 Pm 0.250 0.000 0.250
2 Pm 0.750 0.000 0.750
3 Cu 0.000 0.500 0.500
4 Cu 0.500 0.500 0.000
5 Pt 0.195 0.000 0.695
6 Pt 0.195 0.500 0.195
7 Pt 0.431 0.681 0.750
8 Pt 0.569 0.319 0.250
9 Pt 0.805 0.000 0.305
10 Pt 0.805 0.500 0.805

=====

The following is a PBE calculation of an optimized crystal structure of Pm2Cu5Pt5, from Alexandria.

Unit cell a=4.353 b=5.142 c=9.174 alpha=90.00 beta=90.00 gamma=90.00
Atoms (fractional coordinates):
1 Pm 0.000 0.000 0.000
2 Pm 0.000 0.500 0.500
3 Cu 0.500 0.000 0.500
4 Cu 0.500 0.250 0.256
5 Cu 0.500 0.250 0.744
6 Cu 0.500 0.750 0.256
7 Cu 0.500 0.750 0.744
8 Pt 0.000 0.000 0.334
9 Pt 0.000 0.000 0.666
10 Pt 0.000 0.500 0.176
11 Pt 0.000 0.500 0.824
12 Pt 0.500 0.500 0.000

=====

The following is a PBE calculation of an optimized crystal structure of Pm4Cu5Pt2, from Alexandria.

Unit cell a=7.042 b=3.986 c=8.331 alpha=90.00 beta=92.65 gamma=90.00
Atoms (fractional coordinates):
1 Pm 0.215 0.000 0.381
2 Pm 0.249 0.000 0.928
3 Pm 0.751 0.000 0.072
4 Pm 0.785 0.000 0.619
5 Cu 0.211 0.500 0.655
6 Cu 0.453 0.500 0.186
7 Cu 0.500 0.500 0.500
8 Cu 0.547 0.500 0.814
9 Cu 0.789 0.500 0.345
10 Pt 0.073 0.500 0.160
11 Pt 0.927 0.500 0.840

=====

The following is a PBE calculation of an optimized crystal structure of Pm4Cu5Pt3, from Alexandria.

Unit cell a=6.625 b=6.625 c=10.051 alpha=111.62 beta=111.62 gamma=40.71
Atoms (fractional coordinates):
1 Pm 0.058 0.058 0.310
2 Pm 0.256 0.256 0.856
3 Pm 0.744 0.744 0.144
4 Pm 0.942 0.942 0.690
5 Cu 0.261 0.261 0.572
6 Cu 0.330 0.330 0.378
7 Cu 0.500 0.500 0.000
8 Cu 0.670 0.670 0.622
9 Cu 0.739 0.739 0.428
10 Pt 0.000 0.000 0.000
11 Pt 0.403 0.403 0.175
12 Pt 0.597 0.597 0.825

=====

For reference, magnetic moment by record: 0.0 0.0 0.0 0.0 0.0 0.0 Bohr magnetons per cell.
For reference, electronic total energy by record: -0.2094 -0.1778 -0.2213 -0.2059 -0.1881 -0.1898 Ha/atom.
For reference, DFT formation energy by record: -0.74 -0.20 -0.63 -0.59 -0.43 -0.36 eV per atom.